VASP calculation (GGA-PBE) on MgMo2 after structural relaxation.

a = 11.0517 Å, b = 2.6533 Å, c = 7.0084 Å
α = 90.00°, β = 102.26°, γ = 90.00°
Last column: nearest neighbours and their distance in Å.
Space group C2/m (No. 12)
Unique sites:
Mg 0.1993 0.0000 0.1503 [4 per cell]  4 Mg 2.65-2.91, 4 Mo 2.80-2.95
Mo 0.0295 0.5000 0.8113 [4 per cell]  7 Mo 2.65-2.90, 3 Mg 2.92-2.95
Mo 0.1324 0.0000 0.5134 [4 per cell]  9 Mo 2.65-2.96, 1 Mg 2.80

Summary:
- volume (Å³ per atom) = 16.735
- energy relative to the lowest polymorph listed for this composition (kcal/mol of atoms) = 4.79
- calculated total energy (eV/atom) = -7.36
- total magnetic moment (μB per cell) = 0.00

***

VASP calculation (GGA-PBE) on K2Tl2SnPb after structural relaxation.

a = 7.0064 Å, b = 17.7677 Å, c = 6.9859 Å
α = 90.00°, β = 90.00°, γ = 90.00°
Last column: nearest neighbours and their distance in Å.
Space group Ibam (No. 72)
Unique sites:
K 0.2412 0.1668 0.0000 [8 per cell]  5 Tl 3.57-3.79, 2 Pb 3.83, 2 Sn 3.89
Tl 0.2364 0.3803 0.0000 [8 per cell]  2 Sn 3.21, 2 Pb 3.31, 3 K 3.57-3.60
Sn 0.0000 0.5000 0.2500 [4 per cell]  4 Tl 3.21, 2 Sn 3.49, 2 Pb 3.50
Pb 0.0000 0.0000 0.2500 [4 per cell]  4 Tl 3.31, 2 Pb 3.49, 2 Sn 3.50

Summary:
- volume (Å³ per atom) = 36.236
- calculated total energy (eV/atom) = -2.61
- total magnetic moment (μB per cell) = 0.00

***

VASP calculation (GGA-PBE) on Sm6YEr3 after structural relaxation.

a = 10.8736 Å, b = 19.2235 Å, c = 6.3286 Å
α = 90.00°, β = 90.00°, γ = 90.00°
Last column: nearest neighbours and their distance in Å.
Space group Cmc2_1 (No. 36)
Unique sites:
Sm 0.0000 0.0334 0.0000 [4 per cell]  1 Y 3.35, 4 Er 3.41-3.53, 4 Sm 3.41-3.73
Sm 0.0000 0.2811 0.2360 [4 per cell]  4 Sm 3.13-3.47, 1 Y 3.34, 1 Er 3.41
Sm 0.1711 0.4555 0.3388 [8 per cell]  4 Er 3.49-3.72, 6 Sm 3.51-3.89
Sm 0.2293 0.2875 0.5341 [8 per cell]  2 Sm 3.13-3.47, 2 Er 3.25-3.49, 2 Y 3.37-3.47
Y 0.0000 0.1922 0.7822 [4 per cell]  2 Er 3.33, 6 Sm 3.34-3.47
Er 0.0000 0.3869 0.8030 [4 per cell]  7 Sm 3.41-3.72, 2 Er 3.68, 1 Y 3.75
Er 0.1671 0.1140 0.4108 [8 per cell]  6 Sm 3.25-3.55, 1 Y 3.33, 1 Er 3.63

Summary:
- volume (Å³ per atom) = 33.071
- energy relative to the lowest polymorph listed for this composition (kcal/mol of atoms) = 0.53
- calculated total energy (eV/atom) = -4.70
- total magnetic moment (μB per cell) = 0.00

***

VASP calculation (GGA-PBE) on CoBBr2 after structural relaxation.

a = 6.5959 Å, b = 6.5959 Å, c = 6.5959 Å
α = 90.00°, β = 90.00°, γ = 90.00°
Last column: nearest neighbours and their distance in Å.
Space group Fm-3m (No. 225)
Unique sites:
Co 0.0000 0.0000 0.0000 [4 per cell]  8 Br 2.86
B 0.0000 0.0000 0.5000 [4 per cell]  8 Br 2.86
Br 0.2500 0.2500 0.2500 [8 per cell]  4 Co 2.86, 4 B 2.86

Summary:
- volume (Å³ per atom) = 17.935
- formation energy (no corrections) (eV per atom) = 1.2729
- energy relative to the lowest polymorph listed for this composition (kcal/mol of atoms) = 6.18
- calculated total energy (eV/atom) = -3.01
- total magnetic moment (μB per cell) = 8.21

***

VASP calculation (GGA-PBE) on CoSN2 after structural relaxation.

a = 2.9688 Å, b = 2.9690 Å, c = 7.4318 Å
α = 90.00°, β = 90.40°, γ = 90.00°
Last column: nearest neighbours and their distance in Å.
Space group Pm (No. 6)
Unique sites:
Co 0.0000 0.0000 0.0000 [1 per cell]  1 N 1.88
S 0.5021 0.5000 0.1237 [1 per cell]  4 Co 2.29
N 0.9929 0.0000 0.5957 [1 per cell]  1 N 1.13
N 0.9956 0.0000 0.7475 [1 per cell]  1 N 1.13

Summary:
- volume (Å³ per atom) = 16.377
- formation energy (no corrections) (eV per atom) = 0.0116
- energy relative to the lowest polymorph listed for this composition (kcal/mol of atoms) = 1.13
- calculated total energy (eV/atom) = -6.96
- total magnetic moment (μB per cell) = 1.08

***

VASP calculation (GGA-PBE) on CaCd6In6 after structural relaxation.

a = 5.9023 Å, b = 10.3271 Å, c = 10.9297 Å
α = 90.00°, β = 90.00°, γ = 90.00°
Last column: nearest neighbours and their distance in Å.
Space group Immm (No. 71)
Unique sites:
Ca 0.0000 0.0000 0.0000 [2 per cell]  8 In 3.53-3.89, 4 Cd 3.81
Cd 0.0000 0.5000 0.2790 [4 per cell]  4 Cd 2.99, 4 In 3.09-3.30
Cd 0.2500 0.2500 0.2500 [8 per cell]  4 Cd 2.95-2.99, 6 In 3.17-3.26
In 0.0000 0.0000 0.3561 [4 per cell]  1 In 3.15, 6 Cd 3.19-3.30
In 0.0000 0.3131 0.5000 [4 per cell]  6 Cd 3.09-3.17, 2 In 3.37
In 0.0000 0.3452 0.0000 [4 per cell]  3 In 3.20-3.37, 6 Cd 3.26-3.44, 1 Ca 3.57

Summary:
- volume (Å³ per atom) = 25.623
- calculated total energy (eV/atom) = -1.89
- total magnetic moment (μB per cell) = 0.00

***

VASP calculation (GGA-PBE) on CaPr2Ho2 after structural relaxation.

a = 5.5956 Å, b = 17.7427 Å, c = 3.5834 Å
α = 90.00°, β = 90.00°, γ = 90.00°
Last column: nearest neighbours and their distance in Å.
Space group Cmmm (No. 65)
Unique sites:
Ca 0.0000 0.0000 0.0000 [2 per cell]  2 Ho 3.57, 2 Ca 3.58, 8 Pr 3.96
Pr 0.0000 0.3780 0.5000 [4 per cell]  2 Pr 3.58, 6 Ho 3.61-3.62, 4 Ca 3.96
Ho 0.0000 0.2010 0.0000 [4 per cell]  4 Ho 3.29-3.58, 1 Ca 3.57, 6 Pr 3.61-3.62

Summary:
- volume (Å³ per atom) = 35.576
- calculated total energy (eV/atom) = -4.11
- total magnetic moment (μB per cell) = 0.00

***

VASP calculation (GGA-PBE) on Tb6C3S after structural relaxation.

a = 10.1945 Å, b = 3.6314 Å, c = 12.6344 Å
α = 90.00°, β = 112.87°, γ = 90.00°
Last column: nearest neighbours and their distance in Å.
Space group P2_1/m (No. 11)
Unique sites:
Tb 0.0134 0.2500 0.2710 [2 per cell]  3 C 2.48-2.51
Tb 0.1536 0.2500 0.5654 [2 per cell]  3 C 2.48-2.49
Tb 0.1697 0.7500 0.1049 [2 per cell]  2 C 2.49
Tb 0.3152 0.7500 0.3995 [2 per cell]  3 C 2.48-2.51
Tb 0.3555 0.7500 0.9218 [2 per cell]  3 C 2.35-2.55
Tb 0.4833 0.2500 0.2446 [2 per cell]  3 C 2.44-2.45
C 0.0832 0.7500 0.4202 [2 per cell]  6 Tb 2.48-2.51
C 0.2458 0.2500 0.2508 [2 per cell]  6 Tb 2.45-2.51
C 0.4958 0.7500 0.1201 [2 per cell]  5 Tb 2.35-2.55
S 0.1191 0.2500 0.9173 [2 per cell]  7 Tb 2.85-3.00

Summary:
- volume (Å³ per atom) = 21.548
- formation energy (no corrections) (eV per atom) = -0.5906
- calculated total energy (eV/atom) = -6.55
- total magnetic moment (μB per cell) = 1.65

***

VASP calculation (GGA-PBE) on LiTa2Al after structural relaxation.

a = 3.4038 Å, b = 3.4038 Å, c = 6.0468 Å
α = 90.00°, β = 90.00°, γ = 90.00°
Last column: nearest neighbours and their distance in Å.
Space group P4mm (No. 99)
Unique sites:
Li 0.0000 0.0000 0.0000 [1 per cell]  4 Al 2.79, 6 Ta 2.96-3.04
Ta 0.0000 0.0000 0.5034 [1 per cell]  4 Ta 2.75, 4 Al 2.88, 2 Li 3.00-3.04
Ta 0.5000 0.5000 0.2848 [1 per cell]  4 Ta 2.75, 1 Al 2.91, 4 Li 2.96
Al 0.5000 0.5000 0.7656 [1 per cell]  4 Li 2.79, 5 Ta 2.88-2.91

Summary:
- volume (Å³ per atom) = 17.515
- energy relative to the lowest polymorph listed for this composition (kcal/mol of atoms) = 3.43
- calculated total energy (eV/atom) = -7.16
- total magnetic moment (μB per cell) = 0.00

***

VASP calculation (GGA-PBE) on In2AgBN after structural relaxation.

a = 4.6713 Å, b = 4.6713 Å, c = 4.2496 Å
α = 90.00°, β = 90.00°, γ = 90.00°
Last column: nearest neighbours and their distance in Å.
Space group P4/mmm (No. 123)
Unique sites:
In 0.0000 0.5000 0.0000 [2 per cell]  2 N 2.34
Ag 0.0000 0.0000 0.5000 [1 per cell]  2 N 2.12
B 0.5000 0.5000 0.5000 [1 per cell]  8 In 3.16, 4 Ag 3.30
N 0.0000 0.0000 0.0000 [1 per cell]  2 Ag 2.12, 4 In 2.34

Summary:
- volume (Å³ per atom) = 18.547
- formation energy (no corrections) (eV per atom) = 1.1912
- calculated total energy (eV/atom) = -3.47
- total magnetic moment (μB per cell) = 0.00

***

VASP calculation (GGA-PBE) on Al2Ag2Se after structural relaxation.

a = 3.8708 Å, b = 3.8708 Å, c = 13.1694 Å
α = 90.00°, β = 90.00°, γ = 90.00°
Last column: nearest neighbours and their distance in Å.
Space group I4/mmm (No. 139)
Unique sites:
Al 0.0000 0.0000 0.0959 [4 per cell]  1 Al 2.53, 4 Ag 2.80
Ag 0.0000 0.5000 0.2500 [4 per cell]  4 Ag 2.74, 4 Al 2.80
Se 0.0000 0.0000 0.5000 [2 per cell]  8 Al 3.01

Summary:
- volume (Å³ per atom) = 19.731
- formation energy (no corrections) (eV per atom) = 0.0771
- energy relative to the lowest polymorph listed for this composition (kcal/mol of atoms) = 1.15
- calculated total energy (eV/atom) = -3.26
- total magnetic moment (μB per cell) = 0.00

***

VASP calculation (GGA-PBE) on TlRhBr2 after structural relaxation.

a = 3.5607 Å, b = 3.5607 Å, c = 7.8195 Å
α = 90.00°, β = 90.00°, γ = 90.00°
Last column: nearest neighbours and their distance in Å.
Space group P4/mmm (No. 123)
Unique sites:
Tl 0.0000 0.0000 0.0000 [1 per cell]  8 Br 3.41, 4 Tl 3.56
Rh 0.0000 0.0000 0.5000 [1 per cell]  8 Br 2.99
Br 0.5000 0.5000 0.2932 [2 per cell]  4 Rh 2.99, 1 Br 3.23

Summary:
- volume (Å³ per atom) = 24.785
- formation energy (no corrections) (eV per atom) = 0.1279
- energy relative to the lowest polymorph listed for this composition (kcal/mol of atoms) = 9.81
- calculated total energy (eV/atom) = -3.14
- total magnetic moment (μB per cell) = 2.00

***

VASP calculation (GGA-PBE) on ZrPaRh3 after structural relaxation.

a = 5.5468 Å, b = 13.1271 Å, c = 5.2038 Å
α = 90.00°, β = 90.00°, γ = 90.00°
Last column: nearest neighbours and their distance in Å.
Space group Cmcm (No. 63)
Unique sites:
Zr 0.0000 0.0655 0.2500 [4 per cell]  10 Rh 3.02-3.18, 2 Zr 3.12, 2 Pa 3.26
Pa 0.0000 0.3038 0.7500 [4 per cell]  2 Rh 2.53
Rh 0.0000 0.5000 0.0000 [4 per cell]  6 Rh 2.60-2.67, 2 Pa 2.89
Rh 0.2427 0.1402 0.7500 [8 per cell]  1 Pa 2.53, 3 Rh 2.67-2.69

Summary:
- volume (Å³ per atom) = 18.945
- calculated total energy (eV/atom) = -8.61
- total magnetic moment (μB per cell) = 0.00

***

VASP calculation (GGA-PBE) on TiTlHgTe2 after structural relaxation.

a = 5.4097 Å, b = 5.4097 Å, c = 5.4513 Å
α = 90.00°, β = 90.00°, γ = 90.00°
Last column: nearest neighbours and their distance in Å.
Space group P4/mmm (No. 123)
Unique sites:
Ti 0.0000 0.0000 0.0000 [1 per cell]  4 Te 2.70, 2 Hg 2.73
Tl 0.5000 0.5000 0.5000 [1 per cell]  4 Hg 3.83, 8 Te 3.84
Hg 0.0000 0.0000 0.5000 [1 per cell]  2 Ti 2.73
Te 0.0000 0.5000 0.0000 [2 per cell]  2 Ti 2.70

Summary:
- volume (Å³ per atom) = 31.907
- formation energy (no corrections) (eV per atom) = -0.2324
- calculated total energy (eV/atom) = -3.60
- total magnetic moment (μB per cell) = 0.00

***

VASP calculation (GGA-PBE) on Al2ZnAg2 after structural relaxation.

a = 5.1280 Å, b = 5.1280 Å, c = 7.6500 Å
α = 90.00°, β = 90.00°, γ = 90.00°
Last column: nearest neighbours and their distance in Å.
Space group I4/mmm (No. 139)
Unique sites:
Al 0.0000 0.0000 0.1663 [4 per cell]  1 Al 2.54, 1 Zn 2.55, 4 Ag 2.64
Zn 0.0000 0.0000 0.5000 [2 per cell]  2 Al 2.55
Ag 0.0000 0.5000 0.2500 [4 per cell]  4 Al 2.64

Summary:
- volume (Å³ per atom) = 20.117
- energy relative to the lowest polymorph listed for this composition (kcal/mol of atoms) = 7.11
- calculated total energy (eV/atom) = -2.60
- total magnetic moment (μB per cell) = 0.00

***

VASP calculation (GGA-PBE) on TeAuC2 after structural relaxation.

a = 5.1206 Å, b = 5.1206 Å, c = 10.0433 Å
α = 90.00°, β = 90.00°, γ = 90.00°
Last column: nearest neighbours and their distance in Å.
Space group I-42d (No. 122)
Unique sites:
Te 0.0000 0.0000 0.0000 [4 per cell]  4 C 2.21
Au 0.0000 0.0000 0.5000 [4 per cell]  4 C 2.19
C 0.2469 0.2500 0.6250 [8 per cell]  2 Au 2.19, 2 Te 2.21

Summary:
- volume (Å³ per atom) = 16.459
- formation energy (no corrections) (eV per atom) = 1.6925
- calculated total energy (eV/atom) = -4.52
- total magnetic moment (μB per cell) = 0.00

***

VASP calculation (GGA-PBE) on La3CeO after structural relaxation.

a = 5.1409 Å, b = 5.1409 Å, c = 5.1409 Å
α = 90.00°, β = 90.00°, γ = 90.00°
Last column: nearest neighbours and their distance in Å.
Space group Pm-3m (No. 221)
Unique sites:
La 0.0000 0.0000 0.5000 [3 per cell]  2 O 2.57
Ce 0.5000 0.5000 0.5000 [1 per cell]  12 La 3.64
O 0.0000 0.0000 0.0000 [1 per cell]  6 La 2.57

Summary:
- volume (Å³ per atom) = 27.174
- formation energy (no corrections) (eV per atom) = -1.0760
- calculated total energy (eV/atom) = -6.21
- total magnetic moment (μB per cell) = 1.14

***

VASP calculation (GGA-PBE) on PrTm3In2 after structural relaxation.

a = 16.2206 Å, b = 5.3622 Å, c = 9.1815 Å
α = 90.00°, β = 119.15°, γ = 90.00°
Last column: nearest neighbours and their distance in Å.
Space group C2/m (No. 12)
Unique sites:
Pr 0.1323 0.0000 0.1703 [4 per cell]  5 In 3.25-3.51, 3 Tm 3.54-3.64
Tm 0.0605 0.0000 0.7142 [4 per cell]  3 In 3.35-3.36, 6 Tm 3.44-3.59
Tm 0.1147 0.5000 0.5417 [4 per cell]  3 In 2.99-3.13
Tm 0.1930 0.5000 0.9885 [4 per cell]  1 In 3.00, 2 Tm 3.20
In 0.0181 0.5000 0.1686 [4 per cell]  1 In 2.86, 2 Tm 2.99-3.00
In 0.2256 0.0000 0.5953 [4 per cell]  5 Tm 3.13-3.39, 1 Pr 3.43, 2 In 3.50

Summary:
- volume (Å³ per atom) = 29.062
- energy relative to the lowest polymorph listed for this composition (kcal/mol of atoms) = 2.21
- calculated total energy (eV/atom) = -4.19
- total magnetic moment (μB per cell) = 1.61

***

VASP calculation (GGA-PBE) on TbHoAgAu after structural relaxation.

a = 7.2275 Å, b = 7.2275 Å, c = 7.2275 Å
α = 90.00°, β = 90.00°, γ = 90.00°
Last column: nearest neighbours and their distance in Å.
Space group F-43m (No. 216)
Unique sites:
Tb 0.0000 0.0000 0.0000 [4 per cell]  4 Au 3.13, 4 Ag 3.13
Ho 0.0000 0.0000 0.5000 [4 per cell]  4 Ag 3.13, 4 Au 3.13
Ag 0.2500 0.2500 0.2500 [4 per cell]  4 Tb 3.13, 4 Ho 3.13
Au 0.2500 0.2500 0.7500 [4 per cell]  4 Tb 3.13, 4 Ho 3.13

Summary:
- volume (Å³ per atom) = 23.596
- energy relative to the lowest polymorph listed for this composition (kcal/mol of atoms) = 0.11
- calculated total energy (eV/atom) = -4.43
- total magnetic moment (μB per cell) = 0.00

***

VASP calculation (GGA-PBE) on Pa3HgP4N12 after structural relaxation.

a = 10.9238 Å, b = 10.9238 Å, c = 9.1268 Å
α = 90.00°, β = 90.00°, γ = 120.00°
Last column: nearest neighbours and their distance in Å.
Space group R32 (No. 155, hexagonal axes)
Unique sites:
Pa 0.0000 0.5470 0.0000 [9 per cell]  6 N 2.18-2.36
Hg 0.0000 0.0000 0.0000 [3 per cell]  6 N 2.92
P 0.0000 0.0000 0.5000 [3 per cell]  3 N 1.58
P 0.0000 0.4532 0.5000 [9 per cell]  3 N 1.57-1.60
N 0.0000 0.5993 0.5000 [9 per cell]  1 P 1.60
N 0.0000 0.8549 0.5000 [9 per cell]  1 P 1.58
N 0.0211 0.2145 0.2050 [18 per cell]  1 P 1.57

Summary:
- volume (Å³ per atom) = 15.720
- formation energy (no corrections) (eV per atom) = -0.5970
- calculated total energy (eV/atom) = -8.11
- total magnetic moment (μB per cell) = 1.64